(1)
DFT (meta-GGA SCAN) results for Zr2TaOs at its PBEsol-relaxed geometry.

Calculated values
density of states at the Fermi level: 3.728 states/eV per cell
ΔE to the lowest computed polymorph: 0.2836 eV per atom
formation energy from the elements: -0.9 kcal/mol of atoms

Cell lengths 2.940, 2.940, 9.026 Å; angles 90.00, 90.00, 110.28 degrees
Sites, in units of the cell vectors:
Os (0.500, 0.500, 0.500)
Ta (0.500, 0.500, 0.000)
Zr (0.000, 0.000, 0.732)
Zr (0.000, 0.000, 0.268)

---

(2)
DFT (meta-GGA SCAN) results for K2CoSb at its PBEsol-relaxed geometry.

Calculated values
density of states at the Fermi level: 5.166 states/eV per cell
formation energy from raw total energies: 0.4491 eV/atom

Cell lengths 4.289, 4.289, 6.167 Å; angles 110.35, 110.35, 90.00 degrees
Last column: magnetic moment on the atom in μB.
Sites, in units of the cell vectors:
K (0.750, 0.250, 0.500)  -0.01
K (0.250, 0.750, 0.500)  -0.01
Sb (0.500, 0.500, 0.000)  -0.04
Co (0.000, 0.000, 0.000)  1.90

---

(3)
DFT (meta-GGA SCAN) results for Cd2CuRe at its PBEsol-relaxed geometry.

Calculated values
density of states at the Fermi level: 1.290 states/eV per cell
ΔE to the lowest computed polymorph: 0.0000 eV per atom
formation energy from the elements: 10.6 kcal/mol of atoms

Cell lengths 2.741, 5.019, 5.019 Å; angles 111.43, 90.00, 90.00 degrees
Sites, in units of the cell vectors:
Re (0.500, 0.500, 0.500)
Cd (0.000, 0.500, 0.000)
Cd (0.000, 0.000, 0.500)
Cu (0.500, 0.000, 0.000)

---

(4)
DFT (meta-GGA SCAN) results for BeFe2Co at its PBEsol-relaxed geometry.

Calculated values
density of states at the Fermi level: 2.061 states/eV per cell
formation energy from the elements: -1.9 kcal/mol of atoms

Cell lengths 2.387, 4.452, 4.452 Å; angles 116.72, 99.37, 99.37 degrees
Last column: magnetic moment on the atom in μB.
Sites, in units of the cell vectors:
Co (0.500, 0.000, 0.000)  1.71
Fe (0.000, 0.000, 0.500)  2.56
Fe (0.000, 0.500, 0.000)  2.56
Be (0.500, 0.500, 0.500)  -0.11

---

(5)
DFT (meta-GGA SCAN) results for TcAgSe at its PBEsol-relaxed geometry.

Calculated values
density of states at the Fermi level: 1.431 states/eV per cell
ΔE to the lowest computed polymorph: 0.0000 eV per atom
formation energy from raw total energies: 0.2270 eV/atom

Cell lengths 3.089, 3.089, 5.572 Å; angles 106.09, 106.09, 90.00 degrees
Sites, in units of the cell vectors:
Ag (0.997, 0.997, 0.994)
Tc (0.308, 0.308, 0.616)
Se (0.695, 0.695, 0.389)

---

(6)
DFT (meta-GGA SCAN) results for Sr2CrS2 at its PBEsol-relaxed geometry.

Calculated values
density of states at the Fermi level: 1.315 states/eV per cell
formation energy from raw total energies: -1.3041 eV/atom

Cell lengths 5.857, 6.240, 5.857 Å; angles 117.99, 90.00, 117.99 degrees
Last column: magnetic moment on the atom in μB.
Sites, in units of the cell vectors:
Cr (0.000, 0.000, 0.000)  3.84
Sr (0.750, 0.500, 0.250)  0.00
Sr (0.250, 0.500, 0.750)  0.00
S (0.246, 0.491, 0.246)  -0.03
S (0.754, 0.509, 0.754)  -0.03

---

(7)
DFT (meta-GGA SCAN) results for LaYMo at its PBEsol-relaxed geometry.

Calculated values
density of states at the Fermi level: 1.325 states/eV per cell
ΔE to the lowest computed polymorph: 0.0986 eV per atom
formation energy from the elements: 14.7 kcal/mol of atoms

Cell lengths 4.820, 4.820, 4.820 Å; angles 60.00, 60.00, 60.00 degrees
Sites, in units of the cell vectors:
La (0.500, 0.500, 0.500)
Mo (0.250, 0.250, 0.250)
Y (0.000, 0.000, 0.000)

---

(8)
DFT (meta-GGA SCAN) results for BaMgBeTl2 at its PBEsol-relaxed geometry.

Calculated values
density of states at the Fermi level: 6.982 states/eV per cell
formation energy from the elements: 32.3 kcal/mol of atoms

Cell lengths 6.285, 6.285, 6.521 Å; angles 90.00, 90.00, 90.00 degrees
Sites, in units of the cell vectors:
Ba (0.000, 0.000, 0.000)
Be (0.500, 0.500, 0.500)
Mg (0.000, 0.000, 0.500)
Tl (0.500, 0.000, 0.000)
Tl (0.000, 0.500, 0.000)

---

(9)
DFT (meta-GGA SCAN) results for BRhNO2 at its PBEsol-relaxed geometry.

Calculated values
density of states at the Fermi level: 2.265 states/eV per cell
formation energy from raw total energies: 0.2923 eV/atom

Cell lengths 3.354, 3.350, 3.350 Å; angles 90.00, 90.00, 90.00 degrees
Sites, in units of the cell vectors:
B (0.000, 0.000, 0.000)
N (0.500, 0.000, 0.000)
O (0.000, 0.500, 0.000)
O (0.000, 0.000, 0.500)
Rh (0.500, 0.500, 0.500)

---

(10)
DFT (meta-GGA SCAN) results for Bi2Sb2Se at its PBEsol-relaxed geometry.

Calculated values
density of states at the Fermi level: 7.713 states/eV per cell
formation energy from raw total energies: 0.2363 eV/atom

Cell lengths 4.179, 8.268, 8.268 Å; angles 90.00, 90.00, 90.00 degrees
Sites, in units of the cell vectors:
Sb (0.500, 0.135, 0.635)
Sb (0.500, 0.635, 0.865)
Sb (0.500, 0.365, 0.135)
Sb (0.500, 0.865, 0.365)
Bi (0.000, 0.171, 0.329)
Bi (0.000, 0.329, 0.829)
Bi (0.000, 0.829, 0.671)
Bi (0.000, 0.671, 0.171)
Se (0.000, 0.500, 0.500)
Se (0.000, 0.000, 0.000)

---

(11)
DFT (meta-GGA SCAN) results for LaCu3Pt at its PBEsol-relaxed geometry.

Calculated values
density of states at the Fermi level: 3.216 states/eV per cell
formation energy from the elements: 40.4 kcal/mol of atoms

Cell lengths 4.797, 4.797, 4.797 Å; angles 90.00, 90.00, 90.00 degrees
Sites, in units of the cell vectors:
La (0.000, 0.000, 0.000)
Cu (0.500, 0.000, 0.000)
Cu (0.000, 0.000, 0.500)
Cu (0.000, 0.500, 0.000)
Pt (0.500, 0.500, 0.500)

---

(12)
DFT (meta-GGA SCAN) results for Ba2AlTc at its PBEsol-relaxed geometry.

Calculated values
density of states at the Fermi level: 2.010 states/eV per cell
formation energy from the elements: 4.3 kcal/mol of atoms

Cell lengths 3.582, 3.582, 9.291 Å; angles 90.00, 90.00, 90.00 degrees
Sites, in units of the cell vectors:
Ba (0.500, 0.500, 0.332)
Ba (0.000, 0.000, 0.908)
Tc (0.000, 0.000, 0.598)
Al (0.500, 0.500, 0.661)

---

(13)
DFT (meta-GGA SCAN) results for LaCoTe2 at its PBEsol-relaxed geometry.

Calculated values
density of states at the Fermi level: 3.369 states/eV per cell
formation energy from raw total energies: -0.3601 eV/atom

Cell lengths 3.681, 3.681, 7.124 Å; angles 90.00, 90.00, 90.00 degrees
Last column: magnetic moment on the atom in μB.
Sites, in units of the cell vectors:
La (0.500, 0.500, 0.500)  0.00
Co (0.500, 0.500, 0.000)  2.25
Te (0.000, 0.000, 0.222)  0.11
Te (0.000, 0.000, 0.778)  0.11

---

(14)
DFT (meta-GGA SCAN) results for P2SNCl at its PBEsol-relaxed geometry.

Calculated values
density of states at the Fermi level: 2.049 states/eV per cell
ΔE to the lowest computed polymorph: 0.3664 eV per atom
formation energy from raw total energies: 1.7640 eV/atom

Cell lengths 4.837, 4.533, 4.533 Å; angles 90.00, 90.00, 90.00 degrees
Last column: magnetic moment on the atom in μB.
Sites, in units of the cell vectors:
P (0.000, 0.000, 0.500)  -0.40
P (0.000, 0.500, 0.000)  -0.40
N (0.500, 0.500, 0.500)  1.80
S (0.000, 0.000, 0.000)  -0.07
Cl (0.500, 0.000, 0.000)  -0.10

---

(15)
DFT (meta-GGA SCAN) results for Sr2InSiS at its PBEsol-relaxed geometry.

Calculated values
density of states at the Fermi level: 3.708 states/eV per cell
formation energy from raw total energies: 0.2726 eV/atom

Cell lengths 4.784, 6.212, 6.212 Å; angles 90.00, 90.00, 90.00 degrees
Last column: magnetic moment on the atom in μB.
Sites, in units of the cell vectors:
Sr (0.000, 0.000, 0.500)  0.03
Sr (0.000, 0.500, 0.000)  0.03
S (0.500, 0.000, 0.000)  0.02
In (0.000, 0.000, 0.000)  0.01
Si (0.500, 0.500, 0.500)  0.42

---

(16)
DFT (meta-GGA SCAN) results for CdCoS3 at its PBEsol-relaxed geometry.

Calculated values
density of states at the Fermi level: 6.209 states/eV per cell
formation energy from raw total energies: 0.2319 eV/atom

Cell lengths 4.426, 4.426, 4.426 Å; angles 90.00, 90.00, 90.00 degrees
Last column: magnetic moment on the atom in μB.
Sites, in units of the cell vectors:
Co (0.000, 0.000, 0.000)  1.11
Cd (0.500, 0.500, 0.500)  -0.02
S (0.500, 0.000, 0.000)  0.08
S (0.000, 0.500, 0.000)  0.08
S (0.000, 0.000, 0.500)  0.08

---

(17)
DFT (meta-GGA SCAN) results for CdRu at its PBEsol-relaxed geometry.

Calculated values
density of states at the Fermi level: 3.330 states/eV per cell
formation energy from the elements: 14.9 kcal/mol of atoms

Cell lengths 3.418, 3.418, 6.457 Å; angles 90.00, 90.00, 90.00 degrees
Sites, in units of the cell vectors:
Ru (0.500, 0.500, 0.000)
Ru (0.000, 0.000, 0.000)
Cd (0.500, 0.000, 0.360)
Cd (0.000, 0.500, 0.640)

---

(18)
DFT (meta-GGA SCAN) results for BPtCl3 at its PBEsol-relaxed geometry.

Calculated values
density of states at the Fermi level: 1.288 states/eV per cell
formation energy from raw total energies: 0.6769 eV/atom

Cell lengths 4.777, 4.777, 4.777 Å; angles 90.00, 90.00, 90.00 degrees
Sites, in units of the cell vectors:
Pt (0.000, 0.000, 0.000)
Cl (0.500, 0.000, 0.000)
Cl (0.000, 0.000, 0.500)
Cl (0.000, 0.500, 0.000)
B (0.500, 0.500, 0.500)

---

(19)
DFT (meta-GGA SCAN) results for Cr2SbPdBr at its PBEsol-relaxed geometry.

Calculated values
density of states at the Fermi level: 2.801 states/eV per cell
formation energy from raw total energies: 0.9447 eV/atom

Cell lengths 5.062, 5.062, 5.462 Å; angles 90.00, 90.00, 90.00 degrees
Last column: magnetic moment on the atom in μB.
Sites, in units of the cell vectors:
Cr (0.500, 0.000, 0.000)  4.05
Cr (0.000, 0.500, 0.000)  4.05
Sb (0.000, 0.000, 0.000)  -0.16
Pd (0.500, 0.500, 0.500)  0.07
Br (0.000, 0.000, 0.500)  0.10

---

(20)
DFT (meta-GGA SCAN) results for CaY3 at its PBEsol-relaxed geometry.

Calculated values
density of states at the Fermi level: 5.225 states/eV per cell
formation energy from the elements: 2.9 kcal/mol of atoms

Cell lengths 3.552, 6.178, 6.229 Å; angles 99.54, 90.00, 106.71 degrees
Sites, in units of the cell vectors:
Y (0.500, 0.000, 0.500)
Y (0.756, 0.512, 0.264)
Y (0.244, 0.488, 0.736)
Ca (0.000, 0.000, 0.000)